Cs2AlMoO4: optimized geometry, PBE+U.

Lattice parameters (Å, degrees): 5.573 12.761 21.894 90.00 90.00 90.00
Space group Fddd (No. 70, origin choice 2)
Unique sites:
Cs 0.125 0.125 0.301 x16
Al 0.125 0.125 0.625 x8
Mo 0.125 0.125 0.125 x8
O 0.092 0.298 0.835 x32

Properties
final energy = -5.85 eV per atom
size of the total moment = 24.0 μB/cell